(1)
The following is a DFT calculation (PBE) of crystalline YCdIN2 at its relaxed geometry.

The structure in extended XYZ format:
```
5
Lattice="-2.2387 -3.2732 1.9259 2.9526 -0.0940 3.2723 -3.4892 4.3118 3.2722" Properties=species:S:1:pos:R:3 pbc="T T T"
I -1.7446 2.1559 1.6361
Y 0.0000 0.0000 0.0000
N 1.4763 -0.0470 1.6361
N -1.1193 -1.6366 0.9630
Cd -1.3876 0.4723 4.2352
```

Values from the calculation:
space group	P4/mmm (123)
raw formation energy	628	meV per atom
relative energy among the computed polymorphs	0.00	kcal/mol of atoms



(2)
The following is a DFT calculation (PBE) of crystalline MgH3I at its relaxed geometry.

The structure in extended XYZ format:
```
5
Lattice="-1.3278 3.5775 1.1742 -2.9655 -0.2265 -2.6636 -2.3202 -1.7580 2.7326" Properties=species:S:1:pos:R:3 pbc="T T T"
I -3.3067 0.7965 0.6215
H -1.4828 -0.1132 -1.3318
H -1.1601 -0.8790 1.3663
H -0.6639 1.7888 0.5871
Mg 0.0000 0.0000 0.0000
```

Values from the calculation:
space group	Pm-3m (221)
relative energy among the computed polymorphs	0.00	kcal/mol of atoms



(3)
The following is a DFT calculation (PBE) of crystalline La2TlPb2 at its relaxed geometry.

The structure in extended XYZ format:
```
5
Lattice="-0.4755 3.6484 -4.0000 -1.4914 -3.9483 -3.4239 -7.2710 0.8142 -2.0850" Properties=species:S:1:pos:R:3 pbc="T T T"
Pb -2.3723 0.0630 -3.3526
Pb -6.8656 0.4513 -6.1564
Tl 0.0000 0.0000 0.0000
La -4.3650 2.1564 -4.8985
La -4.8730 -1.6420 -4.6105
```

Values from the calculation:
E_form	-0.051	eV/atom
space group	I4/mmm (139)



(4)
The following is a DFT calculation (PBE) of crystalline TmTlCdPt at its relaxed geometry.

The structure in extended XYZ format:
```
4
Lattice="4.9539 0.0000 0.0000 2.4769 4.2902 0.0000 2.4769 1.4301 4.0448" Properties=species:S:1:pos:R:3 pbc="T T T"
Tl 2.4769 1.4301 1.0112
Tm 0.0000 0.0000 0.0000
Pt 7.4308 4.2902 3.0336
Cd 4.9539 2.8601 2.0224
```

Values from the calculation:
E_form	-0.466	eV/atom
space group	F-43m (216)



(5)
The following is a DFT calculation (PBE) of crystalline LuThHg2 at its relaxed geometry.

The structure in extended XYZ format:
```
4
Lattice="5.3147 0.0000 0.0000 2.6574 4.6027 0.0000 2.6574 1.5342 4.3394" Properties=species:S:1:pos:R:3 pbc="T T T"
Lu 5.3147 3.0684 2.1697
Hg 2.6574 1.5342 1.0849
Hg 7.9721 4.6027 3.2546
Th 0.0000 0.0000 0.0000
```

Values from the calculation:
E_form	-0.301	eV/atom
space group	Fm-3m (225)
relative energy among the computed polymorphs	0.92	kcal/mol of atoms



(6)
The following is a DFT calculation (PBE) of crystalline H4Pd5Au at its relaxed geometry.

The structure in extended XYZ format:
```
20
Lattice="-0.1624 0.3316 -4.7481 -2.8252 -4.8810 -0.2442 -7.0314 4.0437 0.5228" Properties=species:S:1:pos:R:3 pbc="T T T"
H -4.8458 2.7884 0.3278
H -2.1271 -3.3769 -2.4893
H -0.8562 -1.1812 -2.3795
H -2.1879 1.2598 0.1302
H -2.9028 -1.3470 -4.7389
H -5.7887 -1.5912 -2.3636
H -4.2345 1.0941 -2.2293
H -7.2763 1.1682 -4.4137
Pd -7.9957 -0.2321 -0.9285
Pd -6.5743 2.2236 -0.8056
Pd -1.5365 -2.1874 -3.7468
Pd -3.3629 -2.8964 -1.2729
Pd -1.9415 -0.4407 -1.1501
Pd -4.5529 -2.0718 -3.5800
Pd -3.1492 0.3535 -3.4587
Pd -3.5541 2.1003 -0.8619
Pd -5.5478 1.7329 -3.2803
Pd -6.9516 -0.6924 -3.4017
Au -0.1250 0.2552 -3.6550
Au -4.9657 -0.3424 -0.9538
```

Values from the calculation:
space group	Pmmn (59)
relative energy among the computed polymorphs	1.90	kcal/mol of atoms



(7)
The following is a DFT calculation (PBE) of crystalline NbHgGe2Ru at its relaxed geometry.

The structure in extended XYZ format:
```
5
Lattice="4.8365 0.0000 0.0000 0.0000 5.2896 0.0000 0.0000 0.0000 4.8365" Properties=species:S:1:pos:R:3 pbc="T T T"
Ru 2.4182 2.6448 2.4182
Nb 0.0000 2.6448 0.0000
Ge 0.0000 0.0000 2.4182
Ge 2.4182 0.0000 0.0000
Hg 0.0000 0.0000 0.0000
```

Values from the calculation:
E_form	1.968	eV/atom
space group	P4/mmm (123)



(8)
The following is a DFT calculation (PBE) of crystalline Sr2In6CuPt at its relaxed geometry.

The structure in extended XYZ format:
```
10
Lattice="-4.7321 4.9039 2.8432 -3.8096 -0.0087 -6.3255 -7.2390 -1.4560 0.0517" Properties=species:S:1:pos:R:3 pbc="T T T"
Sr -7.6597 0.4915 -4.0075
Sr -8.1210 2.9477 0.5769
In -4.0456 1.2483 -3.9795
In -6.3560 3.6426 -2.5912
In -5.7200 0.5417 -0.8658
In -4.4961 3.6469 0.4972
In -2.1857 1.2526 -0.8911
In -10.0607 2.8975 -2.5648
Cu -4.2708 2.4476 -1.7412
Pt 0.0000 0.0000 0.0000
```

Values from the calculation:
E_form	-0.212	eV/atom
space group	Fm-3m (225)



(9)
The following is a DFT calculation (PBE) of crystalline GdTm2Mg at its relaxed geometry.

The structure in extended XYZ format:
```
4
Lattice="3.5570 0.0000 0.0000 0.0000 3.5570 0.0000 0.0000 0.0000 9.1572" Properties=species:S:1:pos:R:3 pbc="T T T"
Gd 1.7785 1.7785 4.5786
Mg 1.7785 1.7785 0.0000
Tm 0.0000 0.0000 7.0275
Tm 0.0000 0.0000 2.1297
```

Values from the calculation:
E_form	-0.014	eV/atom
space group	P4/mmm (123)
relative energy among the computed polymorphs	0.00	kcal/mol of atoms



(10)
The following is a DFT calculation (PBE) of crystalline Np2MnS6 at its relaxed geometry.

The structure in extended XYZ format:
```
18
Lattice="6.0994 0.0000 0.0000 0.0000 6.0994 0.0000 0.0000 0.0000 11.4578" Properties=species:S:1:pos:R:3 pbc="T T T"
Np 0.0000 0.0000 3.7504
Np 3.0497 3.0497 9.4793
Np 3.0497 3.0497 1.9785
Np 0.0000 0.0000 7.7074
Mn 0.0000 0.0000 0.0000
Mn 3.0497 3.0497 5.7289
S 1.8711 1.8711 4.0042
S 4.2283 4.2283 4.0042
S 1.1786 4.9209 9.7331
S 4.9209 1.1786 9.7331
S 1.1786 4.9209 1.7246
S 4.9209 1.1786 1.7246
S 1.8711 1.8711 7.4535
S 4.2283 4.2283 7.4535
S 1.8472 1.8472 0.0000
S 4.2522 4.2522 0.0000
S 1.2025 4.8969 5.7289
S 4.8969 1.2025 5.7289
```

Values from the calculation:
space group	P4_2/mnm (136)
raw formation energy	-902	meV per atom



(11)
The following is a DFT calculation (PBE) of crystalline Sm2AlTe at its relaxed geometry.

The structure in extended XYZ format:
```
4
Lattice="3.7655 0.0000 0.0000 0.0000 3.7655 0.0000 0.0000 0.0000 7.7041" Properties=species:S:1:pos:R:3 pbc="T T T"
Te 1.8828 1.8828 3.8520
Al 1.8828 1.8828 0.0000
Sm 0.0000 0.0000 5.8080
Sm 0.0000 0.0000 1.8961
```

Values from the calculation:
space group	P4/mmm (123)
raw formation energy	-701	meV per atom
relative energy among the computed polymorphs	5.06	kcal/mol of atoms



(12)
The following is a DFT calculation (PBE) of crystalline Y2IrPb at its relaxed geometry.

The structure in extended XYZ format:
```
4
Lattice="6.7289 0.0227 -0.0037 5.8208 3.3759 -0.0037 1.7144 0.4643 4.4623" Properties=species:S:1:pos:R:3 pbc="T T T"
Ir 7.1968 1.9490 2.2002
Pb 11.2562 3.0483 3.1115
Y 12.4824 3.3804 0.0200
Y 3.0104 0.8153 1.3435
```

Values from the calculation:
E_form	-0.522	eV/atom
space group	Imm2 (44)



(13)
The following is a DFT calculation (PBE) of crystalline TlIn2Au2 at its relaxed geometry.

The structure in extended XYZ format:
```
5
Lattice="4.6209 0.0000 0.0000 0.0000 4.6209 0.0000 2.3104 2.3104 6.0324" Properties=species:S:1:pos:R:3 pbc="T T T"
Tl 0.0000 0.0000 0.0000
Au 2.3104 2.3104 1.3719
Au 4.6209 4.6209 4.6604
In 4.6209 2.3104 3.0162
In 2.3104 4.6209 3.0162
```

Values from the calculation:
E_form	-0.103	eV/atom
space group	I4/mmm (139)



(14)
The following is a DFT calculation (PBE) of crystalline Sm4HgIr2 at its relaxed geometry.

The structure in extended XYZ format:
```
14
Lattice="-2.3579 0.5296 7.4032 -6.1393 0.9711 -4.6919 3.1459 -6.9938 -1.3557" Properties=species:S:1:pos:R:3 pbc="T T T"
Sm -4.5893 -1.8209 -3.6171
Sm -4.4902 -2.4245 0.2623
Sm -1.3756 -4.6721 -3.8186
Sm 0.5455 -5.5975 -0.5205
Sm -2.8711 -5.9032 -0.4021
Sm -0.5873 -5.3145 3.1945
Sm -1.0358 -1.4262 2.8716
Sm -1.4975 -2.3367 -1.3064
Hg 0.0000 0.0000 0.0000
Hg -4.0516 -0.8657 2.8675
Ir -1.2468 -2.8903 5.2354
Ir -1.5458 -3.7367 1.1046
Ir -3.9075 -4.2188 -2.3679
Ir -4.0025 -0.1403 -1.2609
```

Values from the calculation:
E_form	-0.545	eV/atom
space group	I-42d (122)
relative energy among the computed polymorphs	0.72	kcal/mol of atoms



(15)
The following is a DFT calculation (PBE) of crystalline Nb2CuHOs at its relaxed geometry.

The structure in extended XYZ format:
```
5
Lattice="4.0885 0.0000 0.0000 0.0000 4.0885 0.0000 0.0000 0.0000 3.9148" Properties=species:S:1:pos:R:3 pbc="T T T"
H 0.0000 0.0000 0.0000
Nb 0.0000 2.0443 0.0000
Nb 2.0443 0.0000 0.0000
Os 0.0000 0.0000 1.9574
Cu 2.0443 2.0443 1.9574
```

Values from the calculation:
space group	P4/mmm (123)
relative energy among the computed polymorphs	0.71	kcal/mol of atoms



(16)
The following is a DFT calculation (PBE) of crystalline AcLa5TlIn2 at its relaxed geometry.

The structure in extended XYZ format:
```
18
Lattice="-4.6986 -4.3576 5.2432 -2.8177 -4.5573 -6.3125 10.8615 -1.6829 1.7969" Properties=species:S:1:pos:R:3 pbc="T T T"
Ac 3.5517 -3.0702 0.6312
Ac -0.2065 -7.5276 0.0965
La -2.9031 -6.4978 2.6061
La 4.3864 -5.0930 3.7683
La 6.2483 -4.0999 -1.8785
La 7.0811 -2.3555 1.9206
La 3.5536 -6.8374 -0.0307
La -3.7359 -8.2423 -1.1929
La -0.2084 -3.7603 0.7584
La -1.0412 -5.5048 -3.0406
La -3.7581 -4.4575 -0.5346
La 0.0000 0.0000 0.0000
Tl 2.1428 -5.3488 -2.5251
Tl 1.2024 -5.2489 3.2528
In -1.6324 -2.2549 -1.7829
In -3.2426 -3.2383 2.4945
In -4.2737 -5.6766 -3.5638
In -5.8839 -6.6600 0.7136
```

Values from the calculation:
E_form	-0.213	eV/atom
space group	I4/mcm (140)



(17)
The following is a DFT calculation (PBE) of crystalline NaSn2Se3 at its relaxed geometry.

The structure in extended XYZ format:
```
12
Lattice="-2.3192 -3.1078 -0.4571 4.0761 -2.1833 -5.8374 6.5675 -5.8999 6.7926" Properties=species:S:1:pos:R:3 pbc="T T T"
Na 5.6323 -5.0470 5.7384
Na 3.0438 -1.9823 -1.9655
Sn 5.2086 -3.2016 -4.6599
Sn 2.1172 -4.4798 3.0394
Sn 7.4680 -5.9706 2.7036
Sn 4.2675 -5.6722 0.2366
Se 0.0020 -2.3017 -1.0376
Se 4.5378 -6.2894 3.0617
Se 3.3544 -2.6847 1.2338
Se 7.9147 -8.6709 2.1196
Se 3.8589 -4.9403 -2.6671
Se 7.0640 -5.2779 0.0439
```

Values from the calculation:
space group	Pmc2_1 (26)
raw formation energy	-536	meV per atom
relative energy among the computed polymorphs	1.91	kcal/mol of atoms



(18)
The following is a DFT calculation (PBE) of crystalline MgScMoIr2 at its relaxed geometry.

The structure in extended XYZ format:
```
5
Lattice="4.5336 0.0000 0.0000 0.0000 4.6002 0.0000 0.0000 0.0000 4.5336" Properties=species:S:1:pos:R:3 pbc="T T T"
Sc 2.2668 2.3001 2.2668
Mo 0.0000 2.3001 0.0000
Ir 0.0000 0.0000 2.2668
Ir 2.2668 0.0000 0.0000
Mg 0.0000 0.0000 0.0000
```

Values from the calculation:
E_form	1.087	eV/atom
space group	P4/mmm (123)



(19)
The following is a DFT calculation (PBE) of crystalline Ca2Ga2SbRh5 at its relaxed geometry.

The structure in extended XYZ format:
```
20
Lattice="-3.0292 -1.7932 0.2120 3.2395 -4.4961 8.2584 -3.9291 7.2884 5.5093" Properties=species:S:1:pos:R:3 pbc="T T T"
Ca 1.4999 -1.7626 6.5228
Ca -2.1895 4.5549 7.2449
Ca -0.7183 1.5954 3.2326
Ca 0.0287 1.1969 10.5351
Ga -2.0505 3.9921 4.4699
Ga 1.3609 -1.1998 9.2978
Ga -1.4162 3.5722 9.9810
Ga 0.7267 -0.7799 3.7867
Sb 0.0000 0.0000 0.0000
Sb -0.3448 1.3961 6.8839
Rh -1.1107 -1.3357 2.1631
Rh -2.6080 2.3347 11.8166
Rh -4.4241 4.6006 5.0328
Rh -0.9354 -0.9043 8.3176
Rh 0.7053 -3.6015 8.9469
Rh -2.7833 1.9033 5.6620
Rh -2.4502 1.6956 8.6655
Rh -1.2686 -0.6966 5.3142
Rh 0.1052 -3.1447 4.2352
Rh -3.4791 2.7476 2.8606
```

Values from the calculation:
space group	P4/mbm (127)
raw formation energy	-636	meV per atom



(20)
The following is a DFT calculation (PBE) of crystalline Th2SiPIr6 at its relaxed geometry.

The structure in extended XYZ format:
```
20
Lattice="-1.6051 -5.0726 -1.6863 2.4848 1.6146 -7.2223 7.7449 -3.1057 1.9703" Properties=species:S:1:pos:R:3 pbc="T T T"
Th 3.0341 -2.1825 -5.5596
Th 6.5922 -1.9248 -0.4849
Th 6.7074 -3.6555 -4.6251
Th 2.5206 -0.2921 -1.5206
Si 5.7027 -0.3636 -4.3345
Si -0.1480 -2.1109 -2.7457
P 3.6845 -3.6898 -1.6445
P 1.8702 1.2152 -5.4358
Ir 1.4083 -3.1271 -1.1704
Ir 5.2944 -4.6854 -0.1818
Ir 4.1464 0.6526 -5.9099
Ir 8.0052 -0.8949 -4.9282
Ir 3.4756 -2.8097 0.5642
Ir 2.6662 -5.3673 -0.2860
Ir 4.6787 -2.0111 -2.9063
Ir 3.8560 -4.6111 -3.7706
Ir 0.0936 -2.9361 -4.9959
Ir 0.8760 -0.4635 -4.1739
Ir 2.0791 0.3351 -7.6445
Ir 1.2833 -2.1798 -8.4805
```

Values from the calculation:
space group	Pmmn (59)
raw formation energy	-759	meV per atom



| no. | spin magnetization (μB per formula unit) |
| --- | --- |
| 1 | 0.4 |
| 2 | 0.0 |
| 3 | 0.0 |
| 4 | 0.0 |
| 5 | 0.7 |
| 6 | 0.0 |
| 7 | 0.0 |
| 8 | 0.0 |
| 9 | 7.3 |
| 10 | 9.0 |
| 11 | 0.0 |
| 12 | 0.0 |
| 13 | 0.0 |
| 14 | 0.0 |
| 15 | 0.0 |
| 16 | 0.0 |
| 17 | 0.0 |
| 18 | 2.3 |
| 19 | 0.0 |
| 20 | 0.0 |